# MnCu3Au

Crystalline MnCu3Au at its relaxed geometry (GGA-PBE, Alexandria via LeMat-Bulk).

Cell: 4.4839 4.4839 4.4839 Å, 90.00 90.00 90.00°
Closest atoms and distances in Å follow each position.
Positions (direct):
Cu 0.5000 0.0000 0.0000  2 Mn 2.24
Cu 0.0000 0.0000 0.5000  2 Mn 2.24
Cu 0.0000 0.5000 0.0000  2 Mn 2.24
Mn 0.0000 0.0000 0.0000  6 Cu 2.24
Au 0.5000 0.5000 0.5000  12 Cu 3.17

* N(E_F): 3.055 states/eV/f.u.
* formation energy: 1049 meV per atom

=====

# Dy2AsCl

Crystalline Dy2AsCl at its relaxed geometry (GGA-PBE, Alexandria via LeMat-Bulk).

Cell: 4.0234 4.0234 7.3866 Å, 74.20 74.20 60.00°
Closest atoms and distances in Å follow each position.
Positions (direct):
As 0.6686 0.6686 0.9941  6 Dy 2.75-2.80
Dy 0.2610 0.2610 0.2169  3 As 2.80, 3 Cl 3.08
Dy 0.0723 0.0723 0.7831  3 As 2.75, 3 Cl 3.03
Cl 0.4981 0.4981 0.5058  6 Dy 3.03-3.08

* N(E_F): 1.176 states/eV/f.u.
* E_tot: -5.3123 eV per atom

=====

What is the formula in the first record? MnCu3Au

=====

N(E_F) of number 2 (Dy2AsCl)? 1.176 states/eV/f.u.

=====

The highest N(E_F) belongs to which entry? MnCu3Au